MoRhN2F: optimized geometry, PBE+U.

```
MoRhN2F
1.0
3.949 0.000 0.000
0.000 3.949 0.000
0.000 0.000 4.083
F N Mo Rh
1 2 1 1
Direct
0.000 0.000 0.500 F
0.000 0.500 0.000 N
0.500 0.000 0.000 N
0.500 0.500 0.500 Mo
0.000 0.000 0.000 Rh
```

Values from the calculation:
crystal system: tetragonal
space group: No. 123
M_tot: 2.63 μB/f.u.
E_tot: -5.8492 eV/atom

---

MoRhNF2: optimized geometry, PBE+U.

```
MoRhNF2
1.0
4.180 0.000 0.000
0.000 4.180 0.000
0.000 0.000 4.065
F Mo Rh N
2 1 1 1
Direct
0.500 0.000 0.000 F
0.000 0.500 0.000 F
0.000 0.000 0.000 Mo
0.500 0.500 0.500 Rh
0.000 0.000 0.500 N
```

Values from the calculation:
crystal system: tetragonal
space group: No. 123
M_tot: 3.61 μB/f.u.
E_tot: -5.5590 eV/atom

---

MoRuN2F: optimized geometry, PBE+U.

```
MoRuN2F
1.0
3.979 0.000 0.000
0.000 3.979 0.000
0.000 0.000 4.043
F Mo N Ru
1 1 2 1
Direct
0.000 0.000 0.500 F
0.000 0.000 0.000 Mo
0.000 0.500 0.000 N
0.500 0.000 0.000 N
0.500 0.500 0.500 Ru
```

Values from the calculation:
crystal system: tetragonal
space group: No. 123
M_tot: 2.97 μB/f.u.
E_tot: -6.2200 eV/atom

---

MoRuN2F: optimized geometry, PBE+U.

```
MoRuN2F
1.0
-2.982 -2.223 1.103
0.228 -1.962 -3.339
2.697 -2.730 1.788
Mo N F Ru
1 2 1 1
Direct
0.500 0.500 0.500 Mo
0.000 0.500 0.000 N
0.500 0.000 0.000 N
0.000 0.000 0.500 F
0.000 0.000 0.000 Ru
```

Values from the calculation:
crystal system: tetragonal
space group: No. 123
M_tot: 3.99 μB/f.u.
E_tot: -6.4593 eV/atom

---

MoS2NF: optimized geometry, PBE+U.

```
MoS2NF
1.0
-2.926 0.143 3.206
1.380 -3.861 1.432
2.513 1.721 2.217
Mo S F N
1 2 1 1
Direct
0.500 0.500 0.500 Mo
0.000 0.500 0.000 S
0.500 0.000 0.000 S
0.000 0.000 0.000 F
0.000 0.000 0.500 N
```

Values from the calculation:
crystal system: tetragonal
space group: No. 123
M_tot: 0.41 μB/f.u.
E_tot: -3.4371 eV/atom

---

MoSNF2: optimized geometry, PBE+U.

```
MoSNF2
1.0
-1.577 3.442 -1.873
-2.468 0.548 3.083
2.919 2.379 1.914
N F Mo S
1 2 1 1
Direct
0.000 0.500 0.000 N
0.000 0.000 0.500 F
0.500 0.000 0.000 F
0.000 0.000 0.000 Mo
0.500 0.500 0.500 S
```

Values from the calculation:
crystal system: tetragonal
space group: No. 123
M_tot: 1.26 μB/f.u.
E_tot: -4.9407 eV/atom

---

MoS2NF: optimized geometry, PBE+U.

```
MoS2NF
1.0
-2.774 3.586 -1.539
1.077 -1.112 -4.530
-3.046 -2.413 -0.132
S F Mo N
2 1 1 1
Direct
0.500 0.000 0.000 S
0.000 0.500 0.000 S
0.500 0.500 0.500 F
0.000 0.000 0.000 Mo
0.000 0.000 0.500 N
```

Values from the calculation:
crystal system: tetragonal
space group: No. 123
M_tot: 2.00 μB/f.u.
E_tot: -4.6571 eV/atom

---

MoSNF2: optimized geometry, PBE+U.

```
MoSNF2
1.0
-1.681 4.403 -0.113
0.070 -0.095 -4.713
-3.101 -1.184 -0.022
F Mo N S
2 1 1 1
Direct
0.000 0.500 0.000 F
0.500 0.000 0.000 F
0.500 0.500 0.500 Mo
0.000 0.000 0.500 N
0.000 0.000 0.000 S
```

Values from the calculation:
crystal system: tetragonal
space group: No. 123
M_tot: 4.69 μB/f.u.
E_tot: -4.5089 eV/atom

---

SbMoNF2: optimized geometry, PBE+U.

```
SbMoNF2
1.0
4.216 0.000 0.000
0.000 4.216 0.000
0.000 0.000 4.306
Mo F N Sb
1 2 1 1
Direct
0.000 0.000 0.000 Mo
0.000 0.500 0.000 F
0.500 0.000 0.000 F
0.000 0.000 0.500 N
0.500 0.500 0.500 Sb
```

Values from the calculation:
crystal system: tetragonal
space group: No. 123
M_tot: 2.83 μB/f.u.
E_tot: -5.2594 eV/atom

---

SbMoNF2: optimized geometry, PBE+U.

```
SbMoNF2
1.0
4.439 0.000 0.000
0.000 4.439 0.000
0.000 0.000 4.256
F Sb N Mo
2 1 1 1
Direct
0.500 0.000 0.000 F
0.000 0.500 0.000 F
0.000 0.000 0.000 Sb
0.000 0.000 0.500 N
0.500 0.500 0.500 Mo
```

Values from the calculation:
crystal system: tetragonal
space group: No. 123
M_tot: 4.64 μB/f.u.
E_tot: -4.9132 eV/atom

---

ScMoNF2: optimized geometry, PBE+U.

```
ScMoNF2
1.0
-3.451 -0.740 -1.797
1.826 -2.488 -2.482
-0.754 -3.392 2.846
Mo F N Sc
1 2 1 1
Direct
0.500 0.500 0.500 Mo
0.500 0.000 0.000 F
0.000 0.500 0.000 F
0.000 0.000 0.500 N
0.000 0.000 0.000 Sc
```

Values from the calculation:
crystal system: tetragonal
space group: No. 123
M_tot: 4.00 μB/f.u.
E_tot: -6.6613 eV/atom

---

ScMoNF2: optimized geometry, PBE+U.

```
ScMoNF2
1.0
4.130 0.000 0.000
0.000 4.130 0.000
0.000 0.000 4.328
F Mo Sc N
2 1 1 1
Direct
0.000 0.500 0.000 F
0.500 0.000 0.000 F
0.000 0.000 0.000 Mo
0.500 0.500 0.500 Sc
0.000 0.000 0.500 N
```

Values from the calculation:
crystal system: tetragonal
space group: No. 123
M_tot: 3.94 μB/f.u.
E_tot: -6.1119 eV/atom

---

ScMoN2F: optimized geometry, PBE+U.

```
ScMoN2F
1.0
4.194 0.000 0.000
0.000 4.194 0.000
0.000 0.000 3.883
N Mo Sc F
2 1 1 1
Direct
0.500 0.000 0.000 N
0.000 0.500 0.000 N
0.500 0.500 0.500 Mo
0.000 0.000 0.000 Sc
0.000 0.000 0.500 F
```

Values from the calculation:
crystal system: tetragonal
space group: No. 123
M_tot: 2.13 μB/f.u.
E_tot: -6.6798 eV/atom

---

ScMoN2F: optimized geometry, PBE+U.

```
ScMoN2F
1.0
4.061 0.000 0.000
0.000 4.061 0.000
0.000 0.000 3.981
N F Sc Mo
2 1 1 1
Direct
0.000 0.500 0.000 N
0.500 0.000 0.000 N
0.000 0.000 0.500 F
0.500 0.500 0.500 Sc
0.000 0.000 0.000 Mo
```

Values from the calculation:
crystal system: tetragonal
space group: No. 123
M_tot: 1.92 μB/f.u.
E_tot: -6.9178 eV/atom

---

MoSeN2F: optimized geometry, PBE+U.

```
MoSeN2F
1.0
4.094 0.000 0.000
0.000 4.094 0.000
0.000 0.000 4.062
F N Mo Se
1 2 1 1
Direct
0.000 0.000 0.000 F
0.500 0.000 0.000 N
0.000 0.500 0.000 N
0.500 0.500 0.500 Mo
0.000 0.000 0.500 Se
```

Values from the calculation:
crystal system: tetragonal
space group: No. 123
M_tot: 0.98 μB/f.u.
E_tot: -3.9565 eV/atom

---

MoSeNF2: optimized geometry, PBE+U.

```
MoSeNF2
1.0
4.640 0.000 0.000
0.000 4.640 0.000
0.000 0.000 3.687
F N Mo Se
2 1 1 1
Direct
0.500 0.000 0.000 F
0.000 0.500 0.000 F
0.000 0.000 0.500 N
0.500 0.500 0.500 Mo
0.000 0.000 0.000 Se
```

Values from the calculation:
crystal system: tetragonal
space group: No. 123
M_tot: 4.71 μB/f.u.
E_tot: -4.3632 eV/atom

---

MoSeN2F: optimized geometry, PBE+U.

```
MoSeN2F
1.0
3.982 0.000 0.000
0.000 3.982 0.000
0.000 0.000 4.057
N Mo Se F
2 1 1 1
Direct
0.000 0.500 0.000 N
0.500 0.000 0.000 N
0.500 0.500 0.500 Mo
0.000 0.000 0.000 Se
0.000 0.000 0.500 F
```

Values from the calculation:
crystal system: tetragonal
space group: No. 123
M_tot: 3.41 μB/f.u.
E_tot: -4.7958 eV/atom

---

MoSeNF2: optimized geometry, PBE+U.

```
MoSeNF2
1.0
4.221 0.000 0.000
0.000 4.221 0.000
0.000 0.000 4.139
Se Mo F N
1 1 2 1
Direct
0.500 0.500 0.500 Se
0.000 0.000 0.000 Mo
0.000 0.500 0.000 F
0.500 0.000 0.000 F
0.000 0.000 0.500 N
```

Values from the calculation:
crystal system: tetragonal
space group: No. 123
M_tot: 3.28 μB/f.u.
E_tot: -5.0279 eV/atom

---

MoSeN2F: optimized geometry, PBE+U.

```
MoSeN2F
1.0
-1.658 2.738 2.551
1.087 -2.317 3.194
3.614 1.990 0.213
Mo N F Se
1 2 1 1
Direct
0.000 0.000 0.000 Mo
0.500 0.000 0.000 N
0.000 0.500 0.000 N
0.000 0.000 0.500 F
0.500 0.500 0.500 Se
```

Values from the calculation:
crystal system: tetragonal
space group: No. 123
M_tot: 1.52 μB/f.u.
E_tot: -5.3883 eV/atom

---

MoSeN2F: optimized geometry, PBE+U.

```
MoSeN2F
1.0
-0.604 -3.787 -0.792
-0.720 -0.677 3.788
-5.073 0.974 -0.790
N F Se Mo
2 1 1 1
Direct
0.500 0.000 0.000 N
0.000 0.500 0.000 N
0.500 0.500 0.500 F
0.000 0.000 0.500 Se
0.000 0.000 0.000 Mo
```

Values from the calculation:
crystal system: tetragonal
space group: No. 123
M_tot: 1.83 μB/f.u.
E_tot: -5.2009 eV/atom

---

SnMoNF2: optimized geometry, PBE+U.

```
SnMoNF2
1.0
-3.219 2.044 2.124
-2.942 -2.025 -2.510
-0.179 -3.098 2.710
F N Mo Sn
2 1 1 1
Direct
0.000 0.500 0.000 F
0.500 0.000 0.000 F
0.000 0.000 0.500 N
0.500 0.500 0.500 Mo
0.000 0.000 0.000 Sn
```

Values from the calculation:
crystal system: tetragonal
space group: No. 123
M_tot: 4.58 μB/f.u.
E_tot: -5.0621 eV/atom

---

SnMoN2F: optimized geometry, PBE+U.

```
SnMoN2F
1.0
4.166 0.000 0.000
0.000 4.166 0.000
0.000 0.000 4.071
N Sn F Mo
2 1 1 1
Direct
0.000 0.500 0.000 N
0.500 0.000 0.000 N
0.000 0.000 0.000 Sn
0.000 0.000 0.500 F
0.500 0.500 0.500 Mo
```

Values from the calculation:
crystal system: tetragonal
space group: No. 123
M_tot: 3.00 μB/f.u.
E_tot: -5.4614 eV/atom

---

SnMoN2F: optimized geometry, PBE+U.

```
SnMoN2F
1.0
-2.462 -3.258 -0.198
3.260 -2.442 -0.352
0.166 -0.379 4.169
Mo N F Sn
1 2 1 1
Direct
0.000 0.000 0.000 Mo
0.500 0.000 0.000 N
0.000 0.500 0.000 N
0.000 0.000 0.500 F
0.500 0.500 0.500 Sn
```

Values from the calculation:
crystal system: tetragonal
space group: No. 123
M_tot: 1.02 μB/f.u.
E_tot: -6.0153 eV/atom

---

SnMoNF2: optimized geometry, PBE+U.

```
SnMoNF2
1.0
4.269 0.000 0.000
0.000 4.269 0.000
0.000 0.000 4.211
F Mo Sn N
2 1 1 1
Direct
0.000 0.500 0.000 F
0.500 0.000 0.000 F
0.000 0.000 0.000 Mo
0.500 0.500 0.500 Sn
0.000 0.000 0.500 N
```

Values from the calculation:
crystal system: tetragonal
space group: No. 123
M_tot: 2.71 μB/f.u.
E_tot: -5.4603 eV/atom

---

SrMoN2F: optimized geometry, PBE+U.

```
SrMoN2F
1.0
-0.234 0.574 4.858
-4.310 -2.325 0.067
2.110 -3.894 0.562
Sr N F Mo
1 2 1 1
Direct
0.000 0.000 0.000 Sr
0.000 0.500 0.000 N
0.500 0.000 0.000 N
0.000 0.000 0.500 F
0.500 0.500 0.500 Mo
```

Values from the calculation:
crystal system: tetragonal
space group: No. 123
M_tot: 1.00 μB/f.u.
E_tot: -4.7003 eV/atom

---

SrMoN2F: optimized geometry, PBE+U.

```
SrMoN2F
1.0
4.067 0.000 0.000
0.000 4.067 0.000
0.000 0.000 4.220
N Sr Mo F
2 1 1 1
Direct
0.500 0.000 0.000 N
0.000 0.500 0.000 N
0.500 0.500 0.500 Sr
0.000 0.000 0.000 Mo
0.000 0.000 0.500 F
```

Values from the calculation:
crystal system: tetragonal
space group: No. 123
M_tot: 0.98 μB/f.u.
E_tot: -6.3866 eV/atom

---

SrMoNF2: optimized geometry, PBE+U.

```
SrMoNF2
1.0
4.354 0.000 0.000
0.000 4.354 0.000
0.000 0.000 4.067
F Sr N Mo
2 1 1 1
Direct
0.000 0.500 0.000 F
0.500 0.000 0.000 F
0.500 0.500 0.500 Sr
0.000 0.000 0.500 N
0.000 0.000 0.000 Mo
```

Values from the calculation:
crystal system: tetragonal
space group: No. 123
M_tot: 0.99 μB/f.u.
E_tot: -5.6893 eV/atom

---

SrMoNF2: optimized geometry, PBE+U.

```
SrMoNF2
1.0
4.474 0.000 0.000
0.000 4.474 0.000
0.000 0.000 4.984
Mo F Sr N
1 2 1 1
Direct
0.500 0.500 0.500 Mo
0.000 0.500 0.000 F
0.500 0.000 0.000 F
0.000 0.000 0.000 Sr
0.000 0.000 0.500 N
```

Values from the calculation:
crystal system: tetragonal
space group: No. 123
M_tot: 4.21 μB/f.u.
E_tot: -4.8694 eV/atom

---

TaMoN2F: optimized geometry, PBE+U.

```
TaMoN2F
1.0
4.104 0.000 0.000
0.000 4.104 0.000
0.000 0.000 4.014
Ta F Mo N
1 1 1 2
Direct
0.000 0.000 0.000 Ta
0.000 0.000 0.500 F
0.500 0.500 0.500 Mo
0.000 0.500 0.000 N
0.500 0.000 0.000 N
```

Values from the calculation:
crystal system: tetragonal
space group: No. 123
M_tot: 3.93 μB/f.u.
E_tot: -7.8914 eV/atom